[1]
DFT (PBE-GGA) results for a relaxed structure of PmAlSn2.

abc: 4.611 4.611 4.672
angles: 90.00 90.00 90.00
Space group P4/mmm (No. 123)
Inequivalent atoms, fractional coordinates:
1 Pm 0.000 0.000 0.000 (multiplicity 1)
2 Al 0.500 0.500 0.000 (multiplicity 1)
3 Sn 0.000 0.500 0.500 (multiplicity 2)

Calculated values
* DFT formation energy: -0.429 eV per atom
* calculated density: 6.8 Mg/m³
* relative energy among the computed polymorphs: 0.0000 eV per atom
* crystal system: tetragonal
* N(E_F): 1.72 states/eV/f.u.

[2]
DFT (PBE-GGA) results for a relaxed structure of Ti4ZnFe5.

abc: 2.957 2.957 14.542
angles: 90.00 90.00 90.00
Space group P4/mmm (No. 123)
Inequivalent atoms, fractional coordinates:
1 Ti 0.000 0.000 0.102 (multiplicity 2)
2 Ti 0.000 0.000 0.307 (multiplicity 2)
3 Zn 0.000 0.000 0.500 (multiplicity 1)
4 Fe 0.500 0.500 0.000 (multiplicity 1)
5 Fe 0.500 0.500 0.201 (multiplicity 2)
6 Fe 0.500 0.500 0.400 (multiplicity 2)

Calculated values
* DFT formation energy: -0.283 eV per atom
* calculated density: 7.0 Mg/m³
* crystal system: tetragonal
* N(E_F): 8.33 states/eV/f.u.

| no. | E (eV/cell) |
| --- | --- |
| 1 | -18.21 |
| 2 | -78.00 |